[1]
Cu2HgIr | PBE-GGA | relaxed

Cell: 6.176 6.176 6.176 Å, 90.00 90.00 90.00°
Space group Fm-3m (No. 225)
Unique sites:
1 Cu 0.250 0.250 0.250 x8
2 Hg 0.000 0.000 0.000 x4
3 Ir 0.000 0.000 0.500 x4

Output
The value obtained for the total energy is -0.2974 Ry/atom. The energy above the most stable polymorph in this dataset is 0.0524 eV per atom. The volume comes out at 14.72 Å³/atom. The calculation puts the formation energy at 292 meV/atom. The value obtained for the density of states at the Fermi level is 1.47 states/eV/f.u.

[2]
PmCuHgIr | PBE-GGA | relaxed

Cell: 6.811 6.811 6.811 Å, 90.00 90.00 90.00°
Space group F-43m (No. 216)
Unique sites:
1 Pm 0.000 0.000 0.000 x4
2 Cu 0.250 0.250 0.750 x4
3 Hg 0.000 0.000 0.500 x4
4 Ir 0.250 0.250 0.250 x4

Output
The value obtained for the total energy is -0.3399 Ry/atom. The volume comes out at 19.74 Å³/atom. The calculation puts the formation energy at -123 meV/atom. The value obtained for the density of states at the Fermi level is 1.65 states/eV/f.u.

[3]
CuHgIr2Pt | PBE-GGA | relaxed

Cell: 4.969 4.969 4.976 Å, 90.00 90.00 90.00°
Space group P4/mmm (No. 123)
Unique sites:
1 Cu 0.000 0.000 0.000 x1
2 Hg 0.500 0.500 0.500 x1
3 Ir 0.000 0.500 0.500 x2
4 Pt 0.500 0.500 0.000 x1

Output
The value obtained for the total energy is -0.2423 Ry/atom. The volume comes out at 24.57 Å³/atom. The calculation puts the formation energy at 2336 meV/atom. The value obtained for the density of states at the Fermi level is 10.12 states/eV/f.u.

[4]
CuHg2SbIr | PBE-GGA | relaxed

Cell: 4.818 4.818 4.850 Å, 90.00 90.00 90.00°
Space group P4/mmm (No. 123)
Unique sites:
1 Cu 0.000 0.000 0.000 x1
2 Hg 0.000 0.500 0.000 x2
3 Sb 0.000 0.000 0.500 x1
4 Ir 0.500 0.500 0.500 x1

Output
The value obtained for the total energy is -0.1876 Ry/atom. The volume comes out at 22.52 Å³/atom. The value obtained for the density of states at the Fermi level is 3.50 states/eV/f.u.

[5]
Sc4Cu2HgIr | PBE-GGA | relaxed

Cell: 4.6974 4.6974 23.0881 Å, 90.00 90.00 120.00°
Space group R-3m (No. 166, hexagonal axes)
Unique sites:
1 Sc 0.0000 0.0000 0.1176 x6
2 Sc 0.0000 0.0000 0.3694 x6
3 Cu 0.0000 0.0000 0.2478 x6
4 Hg 0.0000 0.0000 0.5000 x3
5 Ir 0.0000 0.0000 0.0000 x3

Output
The value obtained for the total energy is -0.4305 Ry/atom. The volume comes out at 18.38 Å³/atom. The calculation puts the formation energy at -522 meV/atom. The value obtained for the density of states at the Fermi level is 5.80 states/eV/f.u.

[6]
Sr2CuHgIr | PBE-GGA | relaxed

Cell: 5.731 5.731 5.207 Å, 90.00 90.00 90.00°
Space group P4/mmm (No. 123)
Unique sites:
1 Sr 0.000 0.500 0.000 x2
2 Cu 0.000 0.000 0.500 x1
3 Hg 0.500 0.500 0.500 x1
4 Ir 0.500 0.500 0.000 x1

Output
The value obtained for the total energy is -0.2333 Ry/atom. The volume comes out at 34.21 Å³/atom. The calculation puts the formation energy at 150 meV/atom. The value obtained for the density of states at the Fermi level is 3.23 states/eV/f.u.

[7]
KCu4Hg | PBE-GGA | relaxed

Cell: 7.425 7.425 7.425 Å, 90.00 90.00 90.00°
Space group F-43m (No. 216)
Unique sites:
1 K 0.000 0.000 0.000 x4
2 Cu 0.124 0.124 0.624 x16
3 Hg 0.250 0.250 0.250 x4

Output
The value obtained for the total energy is -0.2013 Ry/atom. The volume comes out at 17.06 Å³/atom. The calculation puts the formation energy at 225 meV/atom. The value obtained for the density of states at the Fermi level is 2.55 states/eV/f.u.

[8]
KCuHg | PBE-GGA | relaxed

Cell: 7.820 7.820 7.820 Å, 90.00 90.00 90.00°
Space group F-43m (No. 216)
Unique sites:
1 K 0.000 0.000 0.000 x4
2 Cu 0.250 0.250 0.250 x4
3 Hg 0.250 0.250 0.750 x4

Output
The value obtained for the total energy is -0.1034 Ry/atom. The energy above the most stable polymorph in this dataset is 0.4245 eV per atom. The volume comes out at 39.85 Å³/atom. The calculation puts the formation energy at 424 meV/atom. The value obtained for the density of states at the Fermi level is 0.38 states/eV/f.u.